1.
A crystal of BeP2IrN relaxed with PBEsol, computed with SCAN.

Geometry as POSCAR:
```
BeP2IrN
1.0
4.821 0.000 0.000
0.000 4.821 0.000
0.000 0.000 3.574
Be P Ir N
1 2 1 1
Direct
0.000 0.000 0.000
0.000 0.500 0.500
0.500 0.000 0.500
0.500 0.500 0.500
0.500 0.500 0.000
```

E_form (uncorrected) in meV per atom: 1044
Electronic total energy in eV/cell: -100.32
DOS at the Fermi energy in states/eV/cell: 3.509


2.
A crystal of BeIrPbN2 relaxed with PBEsol, computed with SCAN.

Geometry as POSCAR:
```
BeIrPbN2
1.0
4.127 0.000 0.000
0.000 4.127 0.000
0.000 0.000 4.683
Be Ir Pb N
1 1 1 2
Direct
0.000 0.000 0.000
0.500 0.500 0.000
0.000 0.000 0.500
0.000 0.500 0.500
0.500 0.000 0.500
```

E_form (uncorrected) in meV per atom: 2852
Electronic total energy in eV/cell: -155.56
DOS at the Fermi energy in states/eV/cell: 2.462


3.
A crystal of BeIrSN2 relaxed with PBEsol, computed with SCAN.

Geometry as POSCAR:
```
BeIrSN2
1.0
3.671 0.000 0.000
0.000 3.671 0.000
0.000 0.000 5.370
Be Ir S N
1 1 1 2
Direct
0.000 0.000 0.000
0.500 0.500 0.500
0.500 0.500 0.000
0.000 0.500 0.500
0.500 0.000 0.500
```

E_form (uncorrected) in meV per atom: 925
Electronic total energy in eV/cell: -99.04
DOS at the Fermi energy in states/eV/cell: 1.665


4.
A crystal of NaBe2Ir relaxed with PBEsol, computed with SCAN.

Geometry as POSCAR:
```
NaBe2Ir
1.0
-2.213 2.213 7.382
2.213 -2.213 7.382
2.213 2.213 -7.382
Na Be Ir
2 4 2
Direct
0.375 0.625 0.750
0.625 0.375 0.250
0.000 0.000 0.000
0.000 0.000 0.500
0.000 0.500 0.000
0.500 0.000 0.500
0.125 0.875 0.250
0.875 0.125 0.750
```

Energy of formation from the pure elements in meV per atom: 329.3
Electronic total energy in eV/cell: -165.41
DOS at the Fermi energy in states/eV/cell: 1.823


5.
A crystal of NaBeSiIr2 relaxed with PBEsol, computed with SCAN.

Geometry as POSCAR:
```
NaBeSiIr2
1.0
4.187 0.000 0.000
0.000 4.187 0.000
0.000 0.000 4.029
Na Be Si Ir
1 1 1 2
Direct
0.000 0.000 0.000
0.500 0.500 0.500
0.500 0.500 0.000
0.000 0.500 0.500
0.500 0.000 0.500
```

E_form (uncorrected) in meV per atom: 340
Electronic total energy in eV/cell: -159.08
DOS at the Fermi energy in states/eV/cell: 1.919


6.
A crystal of BeNb2Ir relaxed with PBEsol, computed with SCAN.

Geometry as POSCAR:
```
BeNb2Ir
1.0
-1.874 1.874 9.064
1.874 -1.874 9.064
1.874 1.874 -9.064
Be Nb Ir
2 4 2
Direct
0.000 0.000 0.000
0.750 0.250 0.500
0.113 0.625 0.988
0.375 0.363 0.488
0.637 0.125 0.012
0.875 0.887 0.512
0.250 0.750 0.500
0.500 0.500 0.000
```

Energy of formation from the pure elements in meV per atom: 420.1
Electronic total energy in eV/cell: -280.06
DOS at the Fermi energy in states/eV/cell: 7.425


7.
A crystal of BeNi3Ir relaxed with PBEsol, computed with SCAN.

Geometry as POSCAR:
```
BeNi3Ir
1.0
4.444 0.000 0.000
0.000 4.444 0.000
0.000 0.000 4.444
Be Ni Ir
1 3 1
Direct
0.000 0.000 0.000
0.000 0.500 0.500
0.500 0.000 0.500
0.500 0.500 0.000
0.500 0.500 0.500
```

Energy of formation from the pure elements in meV per atom: 1578.2
Electronic total energy in eV/cell: -116.08
DOS at the Fermi energy in states/eV/cell: 4.938


8.
A crystal of Be4NiIr relaxed with PBEsol, computed with SCAN.

Geometry as POSCAR:
```
Be4NiIr
1.0
0.000 2.990 2.990
2.990 0.000 2.990
2.990 2.990 0.000
Be Ni Ir
4 1 1
Direct
0.125 0.125 0.125
0.125 0.125 0.624
0.125 0.624 0.125
0.624 0.125 0.125
0.500 0.500 0.500
0.750 0.750 0.750
```

Energy of formation from the pure elements in meV per atom: -497.8
Electronic total energy in eV/cell: -107.67
DOS at the Fermi energy in states/eV/cell: 1.780


What did the first record say?
A crystal of BeP2IrN relaxed with PBEsol, computed with SCAN.

Geometry as POSCAR:
```
BeP2IrN
1.0
4.821 0.000 0.000
0.000 4.821 0.000
0.000 0.000 3.574
Be P Ir N
1 2 1 1
Direct
0.000 0.000 0.000
0.000 0.500 0.500
0.500 0.000 0.500
0.500 0.500 0.500
0.500 0.500 0.000
```

E_form (uncorrected) in meV per atom: 1044
Electronic total energy in eV/cell: -100.32
DOS at the Fermi energy in states/eV/cell: 3.509


Q: Which value of DOS at the Fermi energy does entry 4 give?
A: 1.823 states/eV/cell